# PaGaB (PBE-GGA, relaxed)
data_PaGaB
_space_group_name_H-M_alt 'P 1'
_space_group_IT_number 1
_space_group_name_Hall 'P 1'
_cell_length_a 4.458
_cell_length_b 4.458
_cell_length_c 4.458
_cell_angle_alpha 60.00
_cell_angle_beta 60.00
_cell_angle_gamma 60.00
loop_
_atom_site_label
_atom_site_fract_x
_atom_site_fract_y
_atom_site_fract_z
Ga1 0.750 0.750 0.750
B1 0.250 0.250 0.250
Pa1 0.000 0.000 0.000
# * E_tot: -16.869 eV per cell
# * space group: F-43m, No. 216
# * distance to the lowest polymorph of the same formula: 0.687 eV/atom